## HoPaS2 (GGA-PBE)

Data for crystalline HoPaS2 at its relaxed geometry.

Cell: 3.660 3.660 21.692 Å, 90.00 90.00 120.00°
Atoms (fractional coordinates):
Ho 0.000 0.000 0.000
Ho 0.333 0.667 0.667
Ho 0.667 0.333 0.333
Pa 0.000 0.000 0.172
Pa 0.333 0.667 0.839
Pa 0.667 0.333 0.505
S 0.000 0.000 0.588
S 0.000 0.000 0.751
S 0.333 0.667 0.255
S 0.333 0.667 0.417
S 0.667 0.333 0.084
S 0.667 0.333 0.922

**Polymorph energy (0 for the lowest one)**: 0.105 eV/atom
**D(E_F)**: 0.994 states/eV/atom
**Total magnetic moment**: 0.0 Bohr magnetons per cell
**E_form (uncorrected)**: -160.2 kJ/mol of atoms